# 1
Compound: HfMgI3
Source: Alexandria
Functional: GGA-PBE
Structure: optimized geometry

E_tot = -2.97 eV per atom
uncorrected formation energy = 0.273 eV per atom
mass density = 5.436 g cm⁻³
offset from the most stable computed form = 456 meV/atom
total magnetic moment = 1.228 μB/cell
crystal system = cubic
calculated volume = 35.7 A^3/atom

Cell lengths 5.628, 5.628, 5.628 Å; angles 90.00, 90.00, 90.00 degrees
Space group Pm-3m (No. 221)
One atom of each set of equivalent atoms:
Hf1 0.000 0.000 0.000
Mg1 0.500 0.500 0.500
I1 0.000 0.500 0.500

---

# 2
Compound: LiSiHg
Source: Alexandria
Functional: GGA-PBE
Structure: optimized geometry

E_tot = -2.47 eV per atom
uncorrected formation energy = 0.074 eV per atom
mass density = 7.360 g cm⁻³
offset from the most stable computed form = 179 meV/atom
total magnetic moment = 0.000 μB/cell
crystal system = tetragonal
calculated volume = 17.7 A^3/atom

Cell lengths 2.931, 2.931, 12.372 Å; angles 90.00, 90.00, 90.00 degrees
Space group I4mm (No. 107)
One atom of each set of equivalent atoms:
Li1 0.000 0.000 0.000
Si1 0.000 0.000 0.355
Hg1 0.000 0.000 0.666

---

# 3
Compound: TbSmScTe3
Source: Alexandria
Functional: GGA-PBE
Structure: optimized geometry

E_tot = -5.38 eV per atom
uncorrected formation energy = -1.197 eV per atom
mass density = 6.785 g cm⁻³
total magnetic moment = 2.290 μB/cell
crystal system = monoclinic
calculated volume = 30.1 A^3/atom

Cell lengths 8.757, 4.285, 9.919 Å; angles 90.00, 104.23, 90.00 degrees
Space group P2_1/m (No. 11)
One atom of each set of equivalent atoms:
Tb1 0.168 0.250 0.169
Sm1 0.327 0.750 0.763
Sc1 0.411 0.750 0.407
Te1 0.087 0.250 0.841
Te2 0.236 0.250 0.504
Te3 0.405 0.750 0.114

---

# 4
Compound: Nd4Ge2I3
Source: Alexandria
Functional: GGA-PBE
Structure: optimized geometry

E_tot = -4.81 eV per atom
uncorrected formation energy = -1.145 eV per atom
mass density = 5.797 g cm⁻³
offset from the most stable computed form = 0 meV/atom
total magnetic moment = 0.000 μB/cell
crystal system = monoclinic
calculated volume = 35.1 A^3/atom

Cell lengths 7.568, 4.369, 19.109 Å; angles 90.00, 90.06, 90.00 degrees
Space group C2/m (No. 12)
One atom of each set of equivalent atoms:
Nd1 0.001 0.000 0.287
Nd2 0.166 0.500 0.880
Ge1 0.167 0.500 0.199
I1 0.000 0.000 0.000
I2 0.166 0.500 0.606

---

# 5
Compound: SrAlH6
Source: Alexandria
Functional: GGA-PBE
Structure: optimized geometry

E_tot = -3.29 eV per atom
mass density = 2.415 g cm⁻³
offset from the most stable computed form = 0 meV/atom
total magnetic moment = 0.000 μB/cell
crystal system = monoclinic
calculated volume = 10.4 A^3/atom

Cell lengths 5.234, 6.518, 4.964 Å; angles 90.00, 101.59, 90.00 degrees
Space group C2/m (No. 12)
One atom of each set of equivalent atoms:
Sr1 0.000 0.000 0.000
Al1 0.000 0.500 0.500
H1 0.088 0.000 0.512
H2 0.101 0.320 0.747

---

# 6
Compound: Ga2AgPt
Source: Alexandria
Functional: GGA-PBE
Structure: optimized geometry

E_tot = -4.05 eV per atom
mass density = 11.112 g cm⁻³
ΔH_f (0 K) = -1.23 eV/f.u.
offset from the most stable computed form = 12 meV/atom
total magnetic moment = 0.000 μB/cell
crystal system = tetragonal
calculated volume = 16.5 A^3/atom

Cell lengths 3.525, 3.525, 5.322 Å; angles 90.00, 90.00, 90.00 degrees
Space group P4mm (No. 99)
One atom of each set of equivalent atoms:
Ga1 0.000 0.000 0.000
Ga2 0.500 0.500 0.298
Ag1 0.500 0.500 0.793
Pt1 0.000 0.000 0.486